1.
{"formula": "Zr3AlCu", "functional": "PBE", "state": "relaxed", "lattice_angstrom": [[6.670, 0.000, 0.000], [0.000, 6.670, 0.000], [0.000, 0.000, 6.670]], "species": ["Zr", "Zr", "Zr", "Zr", "Zr", "Zr", "Zr", "Zr", "Zr", "Al", "Al", "Al", "Cu", "Cu", "Cu"], "frac_coords": [[0.000, 0.000, 0.000], [0.261, 0.261, 0.261], [0.261, 0.261, 0.739], [0.261, 0.739, 0.261], [0.261, 0.739, 0.739], [0.739, 0.261, 0.261], [0.739, 0.261, 0.739], [0.739, 0.739, 0.261], [0.739, 0.739, 0.739], [0.000, 0.000, 0.500], [0.000, 0.500, 0.000], [0.500, 0.000, 0.000], [0.000, 0.500, 0.500], [0.500, 0.000, 0.500], [0.500, 0.500, 0.000]], "magmom_total_mub_per_atom": 0.000, "sg": "No. 221"}



2.
{"formula": "Zr3AlCu", "functional": "PBE", "state": "relaxed", "lattice_angstrom": [[6.698, 0.000, 0.000], [0.000, 6.698, 0.000], [0.000, 0.000, 6.698]], "species": ["Zr", "Zr", "Zr", "Zr", "Zr", "Zr", "Zr", "Zr", "Zr", "Al", "Al", "Al", "Cu", "Cu", "Cu"], "frac_coords": [[0.000, 0.000, 0.000], [0.253, 0.253, 0.253], [0.253, 0.253, 0.747], [0.253, 0.747, 0.253], [0.253, 0.747, 0.747], [0.747, 0.253, 0.253], [0.747, 0.253, 0.747], [0.747, 0.747, 0.253], [0.747, 0.747, 0.747], [0.000, 0.500, 0.500], [0.500, 0.000, 0.500], [0.500, 0.500, 0.000], [0.000, 0.000, 0.500], [0.000, 0.500, 0.000], [0.500, 0.000, 0.000]], "magmom_total_mub_per_atom": 0.000, "sg": "No. 221"}



Relative energy table, unit eV/atom: 1 0.000; 2 0.069



1.
{"formula": "ZrAlCu3", "functional": "PBE", "state": "relaxed", "lattice_angstrom": [[6.174, 0.000, 0.000], [0.000, 6.174, 0.000], [0.000, 0.000, 6.174]], "species": ["Zr", "Zr", "Zr", "Al", "Al", "Al", "Cu", "Cu", "Cu", "Cu", "Cu", "Cu", "Cu", "Cu", "Cu"], "frac_coords": [[0.000, 0.000, 0.500], [0.000, 0.500, 0.000], [0.500, 0.000, 0.000], [0.000, 0.500, 0.500], [0.500, 0.000, 0.500], [0.500, 0.500, 0.000], [0.268, 0.268, 0.268], [0.268, 0.268, 0.732], [0.268, 0.732, 0.268], [0.268, 0.732, 0.732], [0.500, 0.500, 0.500], [0.732, 0.268, 0.268], [0.732, 0.268, 0.732], [0.732, 0.732, 0.268], [0.732, 0.732, 0.732]], "magmom_total_mub_per_atom": 0.000, "sg": "No. 221"}



2.
{"formula": "ZrAlCu3", "functional": "PBE", "state": "relaxed", "lattice_angstrom": [[-2.449, 3.382, 4.559], [2.449, -3.382, 4.559], [2.449, 3.382, -4.559]], "species": ["Zr", "Zr", "Al", "Al", "Cu", "Cu", "Cu", "Cu", "Cu", "Cu"], "frac_coords": [[0.264, 0.014, 0.250], [0.736, 0.986, 0.750], [0.000, 0.500, 0.500], [0.500, 0.500, 0.000], [0.183, 0.000, 0.683], [0.183, 0.500, 0.183], [0.439, 0.689, 0.750], [0.561, 0.311, 0.250], [0.817, 0.000, 0.317], [0.817, 0.500, 0.817]], "magmom_total_mub_per_atom": 0.000, "sg": "No. 74"}



3.
{"formula": "ZrAlCu3", "functional": "PBE", "state": "relaxed", "lattice_angstrom": [[4.913, 0.000, 0.000], [0.000, 4.913, 0.000], [0.000, 0.000, 4.913]], "species": ["Zr", "Al", "Cu", "Cu", "Cu"], "frac_coords": [[0.000, 0.000, 0.000], [0.500, 0.500, 0.500], [0.000, 0.000, 0.500], [0.000, 0.500, 0.000], [0.500, 0.000, 0.000]], "magmom_total_mub_per_atom": 0.060, "sg": "No. 221"}



Relative energy table, unit eV/atom: 1 0.063; 2 0.000; 3 1.478



1.
{"formula": "Zr3Al3Cu", "functional": "PBE", "state": "relaxed", "lattice_angstrom": [[7.702, 0.000, 0.000], [-3.851, 6.670, 0.000], [0.000, 0.000, 5.240]], "species": ["Zr", "Zr", "Zr", "Zr", "Zr", "Zr", "Al", "Al", "Al", "Al", "Al", "Al", "Cu", "Cu"], "frac_coords": [[0.057, 0.252, 0.250], [0.195, 0.943, 0.250], [0.252, 0.195, 0.750], [0.748, 0.805, 0.250], [0.805, 0.057, 0.750], [0.943, 0.748, 0.750], [0.105, 0.484, 0.750], [0.379, 0.895, 0.750], [0.484, 0.379, 0.250], [0.516, 0.621, 0.750], [0.621, 0.105, 0.250], [0.895, 0.516, 0.250], [0.333, 0.667, 0.250], [0.667, 0.333, 0.750]], "magmom_total_mub_per_atom": 0.000, "sg": "No. 176"}



2.
{"formula": "Zr3Al3Cu", "functional": "PBE", "state": "relaxed", "lattice_angstrom": [[3.271, 0.000, 0.000], [0.000, 7.451, 0.000], [0.000, 0.000, 11.213]], "species": ["Zr", "Zr", "Zr", "Zr", "Zr", "Zr", "Al", "Al", "Al", "Al", "Al", "Al", "Cu", "Cu"], "frac_coords": [[0.250, 0.031, 0.151], [0.250, 0.250, 0.672], [0.250, 0.469, 0.151], [0.750, 0.531, 0.849], [0.750, 0.750, 0.328], [0.750, 0.969, 0.849], [0.250, 0.064, 0.416], [0.250, 0.250, 0.938], [0.250, 0.436, 0.416], [0.750, 0.564, 0.584], [0.750, 0.750, 0.062], [0.750, 0.936, 0.584], [0.250, 0.750, 0.710], [0.750, 0.250, 0.290]], "magmom_total_mub_per_atom": 0.000, "sg": "No. 59"}



3.
{"formula": "Zr3Al3Cu", "functional": "PBE", "state": "relaxed", "lattice_angstrom": [[7.827, 0.000, 0.000], [-3.913, 6.778, 0.000], [0.000, 0.000, 4.884]], "species": ["Zr", "Zr", "Zr", "Zr", "Zr", "Zr", "Al", "Al", "Al", "Al", "Al", "Al", "Cu", "Cu"], "frac_coords": [[0.096, 0.457, 0.250], [0.361, 0.904, 0.250], [0.457, 0.361, 0.750], [0.543, 0.639, 0.250], [0.639, 0.096, 0.750], [0.904, 0.543, 0.750], [0.052, 0.236, 0.750], [0.184, 0.948, 0.750], [0.236, 0.184, 0.250], [0.764, 0.816, 0.750], [0.816, 0.052, 0.250], [0.948, 0.764, 0.250], [0.333, 0.667, 0.750], [0.667, 0.333, 0.250]], "magmom_total_mub_per_atom": 0.000, "sg": "No. 176"}



4.
{"formula": "Zr3Al3Cu", "functional": "PBE", "state": "relaxed", "lattice_angstrom": [[4.800, 0.000, 0.000], [0.000, 5.622, 0.000], [0.000, 0.000, 10.593]], "species": ["Zr", "Zr", "Zr", "Zr", "Zr", "Zr", "Al", "Al", "Al", "Al", "Al", "Al", "Cu", "Cu"], "frac_coords": [[0.250, 0.002, 0.094], [0.250, 0.250, 0.596], [0.250, 0.498, 0.094], [0.750, 0.502, 0.906], [0.750, 0.750, 0.404], [0.750, 0.998, 0.906], [0.250, 0.020, 0.361], [0.250, 0.250, 0.853], [0.250, 0.480, 0.361], [0.750, 0.520, 0.639], [0.750, 0.750, 0.147], [0.750, 0.980, 0.639], [0.250, 0.750, 0.799], [0.750, 0.250, 0.201]], "magmom_total_mub_per_atom": 0.000, "sg": "No. 59"}



Relative energy table, unit eV/atom: 1 0.159; 2 0.072; 3 0.000; 4 0.375